# PBE PrHoErCd, optimized geometry
# Energy relative to the elements, eV per atom: -0.020
# Relative energy among the computed polymorphs, meV per atom: 124.2
data_PrHoErCd
_chemical_formula_sum 'Pr4 Ho4 Er4 Cd4'
_cell_length_a 7.775
_cell_length_b 7.775
_cell_length_c 7.775
_cell_angle_alpha 90.00
_cell_angle_beta 90.00
_cell_angle_gamma 90.00
_symmetry_space_group_name_H-M 'P 1'
_symmetry_Int_Tables_number 1
_symmetry_space_group_name_Hall 'P 1'
loop_
_atom_site_label
_atom_site_type_symbol
_atom_site_fract_x
_atom_site_fract_y
_atom_site_fract_z
_atom_site_occupancy
Pr1 Pr 0.000 0.000 0.000 1
Pr2 Pr 0.000 0.500 0.500 1
Pr3 Pr 0.500 0.000 0.500 1
Pr4 Pr 0.500 0.500 0.000 1
Ho1 Ho 0.250 0.250 0.750 1
Ho2 Ho 0.250 0.750 0.250 1
Ho3 Ho 0.750 0.250 0.250 1
Ho4 Ho 0.750 0.750 0.750 1
Er1 Er 0.000 0.000 0.500 1
Er2 Er 0.000 0.500 0.000 1
Er3 Er 0.500 0.000 0.000 1
Er4 Er 0.500 0.500 0.500 1
Cd1 Cd 0.250 0.250 0.250 1
Cd2 Cd 0.250 0.750 0.750 1
Cd3 Cd 0.750 0.250 0.750 1
Cd4 Cd 0.750 0.750 0.250 1

First-principles (PBE) data for a relaxed ThSiHRh crystal, as listed in Alexandria.

CIF file:
```
data_ThSiHRh
_chemical_formula_sum 'Th2 Si2 H2 Rh2'
_cell_length_a 4.107
_cell_length_b 4.107
_cell_length_c 7.452
_cell_angle_alpha 90.00
_cell_angle_beta 90.00
_cell_angle_gamma 90.00
_symmetry_space_group_name_H-M 'P 1'
_symmetry_Int_Tables_number 1
_symmetry_space_group_name_Hall 'P 1'
loop_
_atom_site_label
_atom_site_type_symbol
_atom_site_fract_x
_atom_site_fract_y
_atom_site_fract_z
_atom_site_occupancy
Th1 Th 0.250 0.250 0.170 1
Th2 Th 0.750 0.750 0.830 1
Si1 Si 0.250 0.250 0.680 1
Si2 Si 0.750 0.750 0.320 1
H1 H 0.250 0.750 0.000 1
H2 H 0.750 0.250 0.000 1
Rh1 Rh 0.250 0.750 0.500 1
Rh2 Rh 0.750 0.250 0.500 1
```

# PBE InPH4O6, optimized geometry
# Relative energy among the computed polymorphs, meV per atom: 0.0
data_InPH4O6
_chemical_formula_sum 'In4 P4 H16 O24'
_cell_length_a 5.438
_cell_length_b 10.538
_cell_length_c 10.189
_cell_angle_alpha 90.00
_cell_angle_beta 119.06
_cell_angle_gamma 90.00
_symmetry_space_group_name_H-M 'P 1'
_symmetry_Int_Tables_number 1
_symmetry_space_group_name_Hall 'P 1'
loop_
_atom_site_label
_atom_site_type_symbol
_atom_site_fract_x
_atom_site_fract_y
_atom_site_fract_z
_atom_site_occupancy
In1 In 0.122 0.171 0.212 1
In2 In 0.122 0.329 0.712 1
In3 In 0.878 0.671 0.288 1
In4 In 0.878 0.829 0.788 1
P1 P 0.270 0.643 0.675 1
P2 P 0.270 0.857 0.175 1
P3 P 0.730 0.143 0.825 1
P4 P 0.730 0.357 0.325 1
H1 H 0.083 0.042 0.745 1
H2 H 0.083 0.458 0.245 1
H3 H 0.358 0.544 0.289 1
H4 H 0.358 0.956 0.789 1
H5 H 0.380 0.158 0.531 1
H6 H 0.380 0.342 0.031 1
H7 H 0.402 0.690 0.027 1
H8 H 0.402 0.810 0.527 1
H9 H 0.598 0.190 0.473 1
H10 H 0.598 0.310 0.973 1
H11 H 0.620 0.658 0.969 1
H12 H 0.620 0.842 0.469 1
H13 H 0.642 0.044 0.211 1
H14 H 0.642 0.456 0.711 1
H15 H 0.917 0.542 0.755 1
H16 H 0.917 0.958 0.255 1
O1 O 0.058 0.666 0.733 1
O2 O 0.058 0.834 0.233 1
O3 O 0.149 0.547 0.241 1
O4 O 0.149 0.953 0.741 1
O5 O 0.167 0.708 0.519 1
O6 O 0.167 0.792 0.019 1
O7 O 0.302 0.003 0.162 1
O8 O 0.302 0.497 0.662 1
O9 O 0.424 0.140 0.448 1
O10 O 0.424 0.360 0.948 1
O11 O 0.440 0.202 0.712 1
O12 O 0.440 0.298 0.212 1
O13 O 0.560 0.702 0.788 1
O14 O 0.560 0.798 0.288 1
O15 O 0.576 0.640 0.052 1
O16 O 0.576 0.860 0.552 1
O17 O 0.698 0.503 0.338 1
O18 O 0.698 0.997 0.838 1
O19 O 0.833 0.208 0.981 1
O20 O 0.833 0.292 0.481 1
O21 O 0.851 0.047 0.259 1
O22 O 0.851 0.453 0.759 1
O23 O 0.942 0.166 0.767 1
O24 O 0.942 0.334 0.267 1

# PBE KLiMo, optimized geometry
# Energy relative to the elements, eV per atom: 0.989
# Relative energy among the computed polymorphs, meV per atom: 37.2
data_KLiMo
_chemical_formula_sum 'K1 Li1 Mo1'
_cell_length_a 2.906
_cell_length_b 2.906
_cell_length_c 8.904
_cell_angle_alpha 90.00
_cell_angle_beta 90.00
_cell_angle_gamma 120.00
_symmetry_space_group_name_H-M 'P 1'
_symmetry_Int_Tables_number 1
_symmetry_space_group_name_Hall 'P 1'
loop_
_atom_site_label
_atom_site_type_symbol
_atom_site_fract_x
_atom_site_fract_y
_atom_site_fract_z
_atom_site_occupancy
K1 K 0.000 0.000 0.000 1
Li1 Li 0.667 0.333 0.394 1
Mo1 Mo 0.333 0.667 0.659 1

# PBE LiBeZn2, optimized geometry
# Energy relative to the elements, eV per atom: 0.033
data_LiBeZn2
_chemical_formula_sum 'Li1 Be1 Zn2'
_cell_length_a 2.507
_cell_length_b 4.119
_cell_length_c 4.915
_cell_angle_alpha 90.00
_cell_angle_beta 100.27
_cell_angle_gamma 90.00
_symmetry_space_group_name_H-M 'P 1'
_symmetry_Int_Tables_number 1
_symmetry_space_group_name_Hall 'P 1'
loop_
_atom_site_label
_atom_site_type_symbol
_atom_site_fract_x
_atom_site_fract_y
_atom_site_fract_z
_atom_site_occupancy
Li1 Li 0.000 0.000 0.000 1
Be1 Be 0.140 0.500 0.737 1
Zn1 Zn 0.458 0.000 0.526 1
Zn2 Zn 0.671 0.500 0.220 1

# PBE Sr4Al6SO16, optimized geometry
# ΔE_f (raw), meV/atom: -2870
data_Sr4Al6SO16
_chemical_formula_sum 'Sr4 Al6 S1 O16'
_cell_length_a 8.157
_cell_length_b 8.157
_cell_length_c 8.157
_cell_angle_alpha 109.47
_cell_angle_beta 109.47
_cell_angle_gamma 109.47
_symmetry_space_group_name_H-M 'P 1'
_symmetry_Int_Tables_number 1
_symmetry_space_group_name_Hall 'P 1'
loop_
_atom_site_label
_atom_site_type_symbol
_atom_site_fract_x
_atom_site_fract_y
_atom_site_fract_z
_atom_site_occupancy
Sr1 Sr 0.000 0.000 0.607 1
Sr2 Sr 0.000 0.607 0.000 1
Sr3 Sr 0.393 0.393 0.393 1
Sr4 Sr 0.607 0.000 0.000 1
Al1 Al 0.250 0.500 0.750 1
Al2 Al 0.250 0.750 0.500 1
Al3 Al 0.500 0.250 0.750 1
Al4 Al 0.500 0.750 0.250 1
Al5 Al 0.750 0.250 0.500 1
Al6 Al 0.750 0.500 0.250 1
S1 S 0.000 0.000 0.000 1
O1 O 0.000 0.000 0.183 1
O2 O 0.000 0.183 0.000 1
O3 O 0.000 0.395 0.700 1
O4 O 0.000 0.700 0.395 1
O5 O 0.183 0.000 0.000 1
O6 O 0.300 0.300 0.695 1
O7 O 0.300 0.695 0.300 1
O8 O 0.305 0.605 0.605 1
O9 O 0.395 0.000 0.700 1
O10 O 0.395 0.700 0.000 1
O11 O 0.605 0.305 0.605 1
O12 O 0.605 0.605 0.305 1
O13 O 0.695 0.300 0.300 1
O14 O 0.700 0.000 0.395 1
O15 O 0.700 0.395 0.000 1
O16 O 0.817 0.817 0.817 1

| no. | E_tot (eV per atom) | DOS at the Fermi energy (states/eV per cell) |
| --- | --- | --- |
| 1 | -3.729 | 21.69 |
| 2 | -6.797 | 3.29 |
| 3 | -5.823 | 0.00 |
| 4 | -3.625 | 2.70 |
| 5 | -2.014 | 0.59 |
| 6 | -7.042 | 0.00 |